(1)
# BaNaAg

BaNaAg after structural relaxation (GGA-PBE, Alexandria).

Cell and atoms, written as POSCAR:
```
BaNaAg
1.0
2.300 -10.211 0.000
2.300 10.211 0.000
0.000 0.000 4.852
Ba Na Ag
2 2 2
Cartesian
2.300 8.359 3.639
2.300 -8.359 1.213
2.300 4.216 3.639
2.300 -4.216 1.213
2.300 0.818 3.639
2.300 -0.818 1.213
```

spin magnetization	0.0	μB/f.u.
ΔE to the lowest computed polymorph	0	meV/atom
formation enthalpy at 0 K	-4.01	kcal/mol of atoms
space-group type	Cmcm (63)



(2)
# Ba2NaAg

Ba2NaAg after structural relaxation (GGA-PBE, Alexandria).

Cell and atoms, written as POSCAR:
```
Ba2NaAg
1.0
0.000 4.334 4.334
4.334 0.000 4.334
4.334 4.334 0.000
Ba Na Ag
2 1 1
Cartesian
2.167 2.167 2.167
6.502 6.502 6.502
0.000 0.000 0.000
4.334 4.334 4.334
```

spin magnetization	0.0	μB/f.u.
ΔE to the lowest computed polymorph	71	meV/atom
formation enthalpy at 0 K	-1.40	kcal/mol of atoms
space-group type	Fm-3m (225)



(3)
# Ba6Na5Ag

Ba6Na5Ag after structural relaxation (GGA-PBE, Alexandria).

Cell and atoms, written as POSCAR:
```
Ba6Na5Ag
1.0
-3.193 4.732 9.434
3.193 -4.732 9.434
3.193 4.732 -9.434
Ba Na Ag
6 5 1
Cartesian
3.193 2.174 -2.865
0.000 2.046 0.000
3.193 2.174 2.865
0.000 2.558 6.569
0.000 7.417 0.000
0.000 2.558 12.299
0.000 0.000 3.528
3.193 0.000 6.337
0.000 0.000 9.434
0.000 4.732 3.096
0.000 0.000 15.339
3.193 0.000 0.000
```

spin magnetization	0.0	μB/f.u.
formation enthalpy at 0 K	-0.45	kcal/mol of atoms
space-group type	Immm (71)



(4)
# Ba6NaAg

Ba6NaAg after structural relaxation (GGA-PBE, Alexandria).

Cell and atoms, written as POSCAR:
```
Ba6NaAg
1.0
4.222 -7.137 0.000
4.222 7.137 0.000
-3.281 0.000 7.608
Ba Na Ag
6 1 1
Cartesian
1.102 2.684 1.845
-0.529 0.000 5.861
1.102 -2.684 1.845
4.060 2.684 5.764
5.691 0.000 1.747
4.060 -2.684 5.764
2.581 0.000 3.804
0.000 0.000 0.000
```

spin magnetization	0.0	μB/f.u.
ΔE to the lowest computed polymorph	61	meV/atom
formation enthalpy at 0 K	0.87	kcal/mol of atoms
space-group type	C2/m (12)



Ρ
In order: 3908 4135 3049 3458
Unit: kg/m3